TbPrZr (PBE-GGA, optimized geometry); ΔE_f = 223.5 kJ/mol of formula units; energy relative to the lowest polymorph listed for this composition = 0 meV per atom
1.0
0.123 1.554 5.042
-4.361 -0.287 2.957
-0.332 -3.571 3.871
Zr Tb Pr
1 1 1
Cartesian
0.000 0.000 0.000 Zr
-3.428 -1.728 8.902 Tb
-1.143 -0.576 2.967 Pr

PrTc2 (PBE-GGA, optimized geometry); ΔE_f = 1006.4 kJ/mol of formula units; energy relative to the lowest polymorph listed for this composition = 3375 meV per atom
1.0
4.537 2.619 7.408
-4.537 2.619 7.408
0.000 -5.238 7.408
Pr Tc
2 4
Cartesian
0.000 0.000 5.556 Pr
0.000 0.000 11.113 Pr
0.000 0.000 8.334 Tc
2.268 1.310 12.038 Tc
-2.268 1.310 12.038 Tc
0.000 -2.619 12.038 Tc

PrTc (PBE-GGA, optimized geometry); ΔE_f = 196.3 kJ/mol of formula units; energy relative to the lowest polymorph listed for this composition = 248 meV per atom
1.0
0.000 2.955 2.955
2.955 0.000 2.955
2.955 2.955 0.000
Pr Tc
1 1
Cartesian
0.000 0.000 0.000 Pr
2.955 2.955 2.955 Tc

PrTc (PBE-GGA, optimized geometry); ΔE_f = 354.1 kJ/mol of formula units; energy relative to the lowest polymorph listed for this composition = 1065 meV per atom
1.0
-3.135 -0.321 3.044
-4.005 1.582 -0.805
-3.361 -2.746 -0.598
Pr Tc
1 1
Cartesian
0.000 0.000 0.000 Pr
-2.625 -0.371 0.410 Tc

PrTc (PBE-GGA, optimized geometry); ΔE_f = 148.5 kJ/mol of formula units; energy relative to the lowest polymorph listed for this composition = 0 meV per atom
1.0
-3.303 -1.075 0.206
2.014 -1.060 -2.632
1.279 -3.474 2.377
Tc Pr
1 1
Cartesian
0.562 -1.933 -1.092 Tc
-0.571 -3.676 1.043 Pr

PrTlTc (PBE-GGA, optimized geometry); energy relative to the lowest polymorph listed for this composition = 0 meV per atom
1.0
-2.878 1.249 3.713
-0.413 4.668 1.292
-4.146 2.396 -0.837
Pr Tc Tl
1 1 1
Cartesian
-1.859 2.078 1.042 Pr
-5.578 6.235 3.126 Tc
0.000 0.000 0.000 Tl

> What is the energy relative to the lowest polymorph listed for this composition in the fourth record?

1065 meV per atom

> The highest energy relative to the lowest polymorph listed for this composition belongs to which entry?

PrTc2